No. 1
DFT (PBE) results for crystalline MnSbW2 at its relaxed geometry.

Results
- SG: No. 35
- Uncorrected energy: -37.239 eV/cell
- DOS(E_F): 3.24 states/eV/f.u.
- ΔE_f (raw): 0.490 eV per atom

a = 2.9054 Å, b = 2.9054 Å, c = 8.4994 Å
α = 90.00°, β = 90.00°, γ = 109.01°
With the nearest neighbours (Å) after each atom.
Sites, in units of the cell vectors:
Mn (0.0000, 0.0000, 0.0000)  2 W 2.57, 2 Sb 2.72
Sb (0.5000, 0.5000, 0.7489)  2 Mn 2.72, 2 W 2.89, 4 Sb 2.91
W (0.0000, 0.0000, 0.4733)  6 W 2.68-2.91, 2 Sb 2.89
W (0.5000, 0.5000, 0.2276)  2 Mn 2.57, 2 W 2.68

---

No. 2
DFT (PBE) results for crystalline MnSbW2 at its relaxed geometry.

Results
- SG: No. 10
- Uncorrected energy: -37.168 eV/cell
- DOS(E_F): 2.63 states/eV/f.u.
- ΔE_f (raw): 0.508 eV per atom

a = 2.8969 Å, b = 4.2013 Å, c = 5.4582 Å
α = 90.00°, β = 93.92°, γ = 90.00°
With the nearest neighbours (Å) after each atom.
Sites, in units of the cell vectors:
Mn (0.0000, 0.0000, 0.0000)  4 W 2.63, 2 Sb 2.73, 2 Mn 2.90
Sb (0.0000, 0.0000, 0.5000)  2 Mn 2.73, 4 W 2.86, 2 Sb 2.90
W (0.3836, 0.5000, 0.2212)  1 W 2.55, 2 Mn 2.63
W (0.6164, 0.5000, 0.7788)  1 W 2.55, 2 Mn 2.63